Version 1
Material: ReTcNi2
Method: DFT, PBE-GGA
State: optimized geometry

Cell and atoms, written as POSCAR:
```
ReTcNi2
1.0
-3.536 1.588 -1.267
-0.679 -3.958 -3.067
-2.556 -3.475 2.779
Re Ni Tc
2 4 2
Direct
0.750 0.654 0.343
0.250 0.346 0.657
0.250 0.873 0.034
0.750 0.127 0.468
0.750 0.127 0.966
0.250 0.873 0.532
0.250 0.349 0.157
0.750 0.651 0.843
```

The mass density comes out at 13.1 Mg/m³.

***

Version 2
Material: ReTcNi2
Method: DFT, PBE-GGA
State: optimized geometry

Cell and atoms, written as POSCAR:
```
ReTcNi2
1.0
-1.677 -3.900 0.020
1.705 -0.724 1.857
-2.980 1.298 3.240
Ni Re Tc
2 1 1
Direct
0.500 0.125 0.275
0.000 0.124 0.975
0.000 0.626 0.462
0.500 0.625 0.788
```

The mass density comes out at 13.0 Mg/m³.

***

Version 3
Material: ReTcNi2
Method: DFT, PBE-GGA
State: optimized geometry

Cell and atoms, written as POSCAR:
```
ReTcNi2
1.0
-0.182 1.709 5.528
-2.945 -3.209 -1.532
0.907 -1.674 1.755
Ni Re Tc
2 1 1
Direct
0.500 0.000 0.500
0.000 0.000 0.000
0.000 0.500 0.500
0.500 0.500 0.000
```

The mass density comes out at 13.0 Mg/m³.

***

Version 4
Material: ReTcNi2
Method: DFT, PBE-GGA
State: optimized geometry

Cell and atoms, written as POSCAR:
```
ReTcNi2
1.0
3.086 0.000 0.000
0.000 3.086 0.000
0.000 0.000 5.426
Ni Tc Re
2 1 1
Direct
0.500 0.500 0.230
0.000 0.000 0.024
0.500 0.500 0.756
0.000 0.000 0.490
```

The mass density comes out at 12.9 Mg/m³.

***

Short version: version 4 is the least stable of them.

***

Version 1
Material: ReTcNi2
Method: DFT, PBE-GGA
State: optimized geometry

Cell and atoms, written as POSCAR:
```
ReTcNi2
1.0
-4.376 -1.119 -2.634
0.022 -4.825 2.014
-5.080 -1.274 3.791
Ni Tc Re
4 2 2
Direct
0.623 0.125 0.250
0.375 0.377 0.750
0.127 0.625 0.250
0.875 0.873 0.750
0.250 0.750 0.500
0.500 0.500 0.000
0.000 0.000 0.000
0.750 0.250 0.500
```

The mass density comes out at 9.2 Mg/m³.

***

Version 2
Material: ReTcNi2
Method: DFT, PBE-GGA
State: optimized geometry

Cell and atoms, written as POSCAR:
```
ReTcNi2
1.0
-2.630 0.906 -2.371
-1.534 -3.283 0.448
-2.125 1.387 2.888
Ni Re Tc
2 1 1
Direct
0.500 0.500 0.000
0.000 0.000 0.000
0.500 0.000 0.500
0.000 0.500 0.500
```

The mass density comes out at 13.0 Mg/m³.

***

Short version: version 1 is the least stable of them.

***

Version 1
Material: ReTcNi2
Method: DFT, PBE-GGA
State: optimized geometry

Cell and atoms, written as POSCAR:
```
ReTcNi2
1.0
-3.524 -0.386 2.863
-1.374 -1.240 4.164
0.307 4.033 2.144
Ni Tc Re
2 1 1
Direct
0.000 0.000 0.002
0.500 0.500 0.498
0.750 0.750 0.750
0.250 0.250 0.250
```

The mass density comes out at 12.8 Mg/m³.

***

Version 2
Material: ReTcNi2
Method: DFT, PBE-GGA
State: optimized geometry

Cell and atoms, written as POSCAR:
```
ReTcNi2
1.0
3.824 0.000 0.000
0.000 2.594 0.019
0.000 2.561 5.195
Ni Tc Re
2 1 1
Direct
0.000 0.502 0.498
0.000 0.998 0.002
0.500 0.750 0.750
0.500 0.250 0.250
```

The mass density comes out at 13.0 Mg/m³.

***

Version 3
Material: ReTcNi2
Method: DFT, PBE-GGA
State: optimized geometry

Cell and atoms, written as POSCAR:
```
ReTcNi2
1.0
8.578 -0.006 -0.003
8.158 2.651 -0.003
8.158 1.290 2.316
Ni Tc Re
2 1 1
Direct
0.997 0.997 0.997
0.253 0.253 0.253
0.748 0.748 0.748
0.502 0.502 0.502
```

The mass density comes out at 12.6 Mg/m³.

***

Version 4
Material: ReTcNi2
Method: DFT, PBE-GGA
State: optimized geometry

Cell and atoms, written as POSCAR:
```
ReTcNi2
1.0
1.368 -3.434 -1.938
-2.536 -2.098 -2.566
0.683 0.059 -4.117
Tc Ni Re
1 2 1
Direct
0.000 0.000 0.000
0.250 0.250 0.250
0.750 0.750 0.750
0.500 0.500 0.500
```

The mass density comes out at 13.0 Mg/m³.

***

Short version: version 4 is the least stable of them.

***

Version 1
Material: ReTcNi2
Method: DFT, PBE-GGA
State: optimized geometry

Cell and atoms, written as POSCAR:
```
ReTcNi2
1.0
4.570 0.000 -0.002
3.839 2.481 -0.002
0.667 0.197 4.553
Ni Tc Re
2 1 1
Direct
0.250 0.250 0.244
0.000 0.000 0.008
0.745 0.745 0.758
0.506 0.506 0.491
```

The mass density comes out at 12.9 Mg/m³.

***

Version 2
Material: ReTcNi2
Method: DFT, PBE-GGA
State: optimized geometry

Cell and atoms, written as POSCAR:
```
ReTcNi2
1.0
8.638 -0.020 -0.011
8.232 2.614 -0.011
8.232 1.266 2.287
Ni Tc Re
2 1 1
Direct
0.500 0.500 0.500
0.000 0.000 0.000
0.750 0.750 0.750
0.250 0.250 0.250
```

The mass density comes out at 12.8 Mg/m³.

***

Version 3
Material: ReTcNi2
Method: DFT, PBE-GGA
State: optimized geometry

Cell and atoms, written as POSCAR:
```
ReTcNi2
1.0
4.617 0.023 -0.008
1.690 4.296 0.008
-3.150 -2.165 2.590
Tc Ni Re
1 2 1
Direct
0.250 0.750 0.500
0.000 0.000 0.000
0.500 0.500 0.000
0.750 0.250 0.500
```

The mass density comes out at 13.0 Mg/m³.

***

Short version: version 2 is the least stable of them.

***

Version 1
Material: ReTcNi2
Method: DFT, PBE-GGA
State: optimized geometry

Cell and atoms, written as POSCAR:
```
ReTcNi2
1.0
-3.512 -1.700 1.561
0.161 -2.297 3.516
-1.653 1.493 3.563
Ni Tc Re
2 1 1
Direct
0.000 0.000 0.000
0.250 0.250 0.250
0.750 0.750 0.750
0.500 0.500 0.500
```

The mass density comes out at 12.7 Mg/m³.

***

Version 2
Material: ReTcNi2
Method: DFT, PBE-GGA
State: optimized geometry

Cell and atoms, written as POSCAR:
```
ReTcNi2
1.0
3.144 0.000 0.000
0.000 3.144 0.000
0.000 0.000 5.214
Ni Tc Re
2 1 1
Direct
0.000 0.000 0.499
0.000 0.000 0.001
0.500 0.500 0.750
0.500 0.500 0.250
```

The mass density comes out at 12.9 Mg/m³.

***

Version 3
Material: ReTcNi2
Method: DFT, PBE-GGA
State: optimized geometry

Cell and atoms, written as POSCAR:
```
ReTcNi2
1.0
-3.064 0.190 3.339
-3.580 -2.531 -1.166
4.434 -0.932 0.056
Ni Re Tc
2 1 1
Direct
0.000 0.000 0.000
0.750 0.250 0.500
0.500 0.500 0.000
0.250 0.750 0.500
```

The mass density comes out at 13.0 Mg/m³.

***

Short version: version 2 is the least stable of them.

***

Version 1
Material: ReTcNi
Method: DFT, PBE-GGA
State: optimized geometry

Cell and atoms, written as POSCAR:
```
ReTcNi
1.0
4.322 0.000 -0.805
0.000 4.363 0.000
-1.373 0.000 4.634
Ni Re Tc
2 2 2
Direct
0.572 0.750 0.144
0.428 0.250 0.856
0.909 0.750 0.818
0.091 0.250 0.182
0.249 0.750 0.498
0.751 0.250 0.502
```

The mass density comes out at 13.8 Mg/m³.

***

Version 2
Material: ReTcNi
Method: DFT, PBE-GGA
State: optimized geometry

Cell and atoms, written as POSCAR:
```
ReTcNi
1.0
4.302 0.000 0.000
-2.151 3.726 0.000
0.000 0.000 2.580
Re Ni Tc
1 1 1
Direct
0.333 0.667 0.340
0.000 0.000 0.036
0.667 0.333 0.624
```

The mass density comes out at 13.8 Mg/m³.

***

Short version: version 2 is the least stable of them.